VASP calculation (PBE) on an optimized crystal structure of CaMg15.

Cell: 6.5030 6.5030 10.5032 Å, 90.00 90.00 120.00°
Closest atoms and distances in Å follow each position.
Space group P-6m2 (No. 187)
One atom of each set of equivalent atoms:
Ca: 0.0000 0.0000 0.0000 (multiplicity 1)  12 Mg 3.25-3.30
Mg: 0.0000 0.0000 0.5000 (multiplicity 1)  12 Mg 3.18-3.25
Mg: 0.0051 0.5025 0.5000 (multiplicity 3)  12 Mg 3.17-3.30
Mg: 0.3333 0.6667 0.2413 (multiplicity 2)  12 Mg 3.19-3.29
Mg: 0.3369 0.1685 0.2572 (multiplicity 6)  11 Mg 3.17-3.29, 1 Ca 3.30
Mg: 0.5046 0.0092 0.0000 (multiplicity 3)  10 Mg 3.16-3.34, 2 Ca 3.25

Values from the calculation:
Uncorrected energy: -1.62 eV/atom
Magnetization: 0.00 Bohr magnetons per cell



VASP calculation (PBE) on an optimized crystal structure of Ca2Mg3.

Cell: 3.6789 3.6789 39.8931 Å, 90.00 90.00 120.00°
Closest atoms and distances in Å follow each position.
Space group R-3m (No. 166, hexagonal axes)
One atom of each set of equivalent atoms:
Ca: 0.0000 0.0000 0.0972 (multiplicity 6)  6 Mg 3.46-3.49, 6 Ca 3.68
Mg: 0.0000 0.0000 0.3047 (multiplicity 6)  3 Mg 3.12, 3 Ca 3.46
Mg: 0.0000 0.0000 0.5000 (multiplicity 3)  6 Ca 3.49, 6 Mg 3.68

Values from the calculation:
Uncorrected energy: -1.67 eV/atom
Magnetization: 1.10 Bohr magnetons per cell



VASP calculation (PBE) on an optimized crystal structure of Ca4Mg3.

Cell: 31.6619 3.8376 3.8376 Å, 90.00 96.74 90.00°
Closest atoms and distances in Å follow each position.
Space group C2/m (No. 12)
One atom of each set of equivalent atoms:
Ca: 0.0663 0.0000 0.0663 (multiplicity 4)  4 Mg 3.42-3.43
Ca: 0.1571 0.5000 0.6570 (multiplicity 4)  5 Mg 3.45-3.71, 4 Ca 3.84
Mg: 0.0000 0.5000 0.5000 (multiplicity 2)  8 Ca 3.42-3.43
Mg: 0.2249 0.0000 0.2248 (multiplicity 4)  4 Mg 3.14, 4 Ca 3.45-3.46

Values from the calculation:
Uncorrected energy: -1.87 eV/atom
Magnetization: 0.00 Bohr magnetons per cell